InCoTeAuS2 | PBE | optimized geometry

Computed properties:
- Raw total energy: -4.2462 eV/atom
- Total moment: 0.002 μB/atom

abc: 7.596 7.596 10.147
angles: 90.00 90.00 154.14
Positions (direct):
In1 0.203 0.797 0.750
In2 0.797 0.203 0.250
Co1 0.500 0.500 0.000
Co2 0.500 0.500 0.500
Te1 0.471 0.529 0.250
Te2 0.529 0.471 0.750
Au1 0.145 0.855 0.250
Au2 0.855 0.145 0.750
S1 0.103 0.897 0.014
S2 0.103 0.897 0.486
S3 0.897 0.103 0.514
S4 0.897 0.103 0.986